Below is a relaxed structure of BaMg4Cu, with properties calculated at the GGA-PBE level.

Cell lengths 4.4558, 7.9827, 8.9167 Å; angles 90.00, 90.00, 90.00 degrees
With the nearest neighbours (Å) after each atom.
Fractional coordinates of all 12 atoms:
Mg (0.5000, 0.2746, 0.9331)  2 Cu 2.87, 3 Mg 3.03-3.18
Mg (0.5000, 0.9547, 0.7500)  2 Cu 2.85, 6 Mg 3.03-3.17
Mg (0.5000, 0.7254, 0.4331)  2 Cu 2.87, 3 Mg 3.03-3.18
Mg (0.5000, 0.7254, 0.0669)  2 Cu 2.87, 3 Mg 3.03-3.18
Mg (0.0000, 0.0000, 0.0000)  2 Cu 2.64
Mg (0.5000, 0.2746, 0.5669)  2 Cu 2.87, 3 Mg 3.03-3.18
Mg (0.5000, 0.0453, 0.2500)  2 Cu 2.85, 6 Mg 3.03-3.17
Mg (0.0000, 0.0000, 0.5000)  2 Cu 2.64
Ba (0.0000, 0.5899, 0.7500)  1 Cu 3.29, 2 Mg 3.67
Ba (0.0000, 0.4101, 0.2500)  1 Cu 3.29, 2 Mg 3.67
Cu (0.0000, 0.8224, 0.2500)  8 Mg 2.64-2.87
Cu (0.0000, 0.1776, 0.7500)  8 Mg 2.64-2.87

Calculated values
Its final energy is -0.0790 Ha/atom. As for the symmetry: No. 51. Its formation energy is -0.083 eV per atom. The value obtained for the density of states at the Fermi level is 0.67 states/eV/atom. The energy above the most stable polymorph in this dataset is 0 meV/atom.

***

Below is a relaxed structure of Li2TlBiO4, with properties calculated at the GGA-PBE level.

Cell lengths 4.6733, 4.6733, 5.8549 Å; angles 113.52, 113.52, 90.00 degrees
With the nearest neighbours (Å) after each atom.
Fractional coordinates of all 8 atoms:
O (0.9904, 0.4904, 0.9808)  1 Tl 2.32, 2 Bi 2.34, 3 Li 2.34-2.51
O (0.2507, 0.2507, 0.5015)  2 Tl 2.34, 3 Li 2.34-2.42, 1 Bi 2.41
O (0.5096, 0.0096, 0.0192)  1 Tl 2.32, 3 Li 2.34-2.51, 2 Bi 2.34
O (0.7493, 0.7493, 0.4985)  3 Li 2.34-2.42, 2 Tl 2.34, 1 Bi 2.41
Li (0.2500, 0.7500, 0.5000)  6 O 2.34-2.51
Li (0.0000, 0.0000, 0.0000)  6 O 2.34-2.42
Bi (0.5000, 0.5000, 0.0000)  6 O 2.34-2.41
Tl (0.7500, 0.2500, 0.5000)  6 O 2.32-2.34

Calculated values
Its final energy is -0.1830 Ha/atom. As for the symmetry: No. 119. The value obtained for the density of states at the Fermi level is 0.16 states/eV/atom. The calculation puts the formation energy without anion corrections at -1.242 eV per atom.

***

Below is a relaxed structure of Pr2NdY6Er3, with properties calculated at the GGA-PBE level.

Cell lengths 6.2220, 6.2220, 11.8626 Å; angles 95.01, 95.01, 119.97 degrees
With the nearest neighbours (Å) after each atom.
Fractional coordinates of all 12 atoms:
Pr (0.3333, 0.6667, 0.0000)  3 Pr 3.59, 3 Nd 3.59, 6 Y 3.63
Pr (0.6667, 0.3333, 0.0000)  3 Pr 3.59, 3 Nd 3.59, 6 Y 3.63
Nd (0.0000, 0.0000, 0.0000)  6 Pr 3.59, 6 Y 3.63
Y (0.2479, 0.2479, 0.7451)  3 Er 3.53-3.54, 6 Y 3.59, 1 Nd 3.63, 2 Pr 3.63
Y (0.0852, 0.4184, 0.2549)  3 Er 3.54, 6 Y 3.59, 2 Pr 3.63, 1 Nd 3.63
Y (0.9148, 0.5816, 0.7451)  3 Er 3.54, 6 Y 3.59, 2 Pr 3.63, 1 Nd 3.63
Y (0.5816, 0.9148, 0.7451)  3 Er 3.54, 6 Y 3.59, 2 Pr 3.63, 1 Nd 3.63
Y (0.4184, 0.0852, 0.2549)  3 Er 3.54, 6 Y 3.59, 2 Pr 3.63, 1 Nd 3.63
Y (0.7521, 0.7521, 0.2549)  3 Er 3.53-3.54, 6 Y 3.59, 1 Nd 3.63, 2 Pr 3.63
Er (0.1666, 0.8334, 0.5000)  6 Y 3.53-3.54, 6 Er 3.59
Er (0.8334, 0.1666, 0.5000)  6 Y 3.53-3.54, 6 Er 3.59
Er (0.5000, 0.5000, 0.5000)  6 Y 3.54, 6 Er 3.59

Calculated values
Its final energy is -0.2038 Ha/atom. As for the symmetry: No. 12. Its formation energy is 0.021 eV per atom. The value obtained for the density of states at the Fermi level is 1.46 states/eV/atom.

***

Below is a relaxed structure of YHg3Pb, with properties calculated at the GGA-PBE level.

Cell lengths 5.7284, 5.7284, 5.7284 Å; angles 90.00, 90.00, 90.00 degrees
With the nearest neighbours (Å) after each atom.
Fractional coordinates of all 5 atoms:
Hg (0.0000, 0.5000, 0.0000)  2 Y 2.86
Hg (0.0000, 0.0000, 0.5000)  2 Y 2.86
Hg (0.5000, 0.0000, 0.0000)  2 Y 2.86
Y (0.0000, 0.0000, 0.0000)  6 Hg 2.86
Pb (0.5000, 0.5000, 0.5000)  12 Hg 4.05

Calculated values
Its final energy is -0.0669 Ha/atom. As for the symmetry: No. 221. Its formation energy is 0.394 eV per atom. The value obtained for the density of states at the Fermi level is 1.45 states/eV/atom. The energy above the most stable polymorph in this dataset is 618 meV/atom.

***

Below is a relaxed structure of SmCdAg, with properties calculated at the GGA-PBE level.

Cell lengths 3.8128, 3.8128, 5.6645 Å; angles 109.67, 109.67, 90.00 degrees
With the nearest neighbours (Å) after each atom.
Fractional coordinates of all 3 atoms:
Ag (0.2727, 0.2727, 0.5455)  4 Cd 3.06, 5 Sm 3.22-3.23
Cd (0.6285, 0.6285, 0.2570)  4 Ag 3.06, 5 Sm 3.19-3.24
Sm (0.9488, 0.9488, 0.8976)  5 Cd 3.19-3.24, 5 Ag 3.22-3.23

Calculated values
Its final energy is -0.1126 Ha/atom. As for the symmetry: No. 107. Its formation energy is -0.235 eV per atom. The value obtained for the density of states at the Fermi level is 0.49 states/eV/atom.

***

Below is a relaxed structure of Cr2Ag2PdS6, with properties calculated at the GGA-PBE level.

Cell lengths 6.0885, 6.0885, 7.4317 Å; angles 83.63, 83.63, 119.69 degrees
With the nearest neighbours (Å) after each atom.
Fractional coordinates of all 11 atoms:
S (0.0476, 0.7119, 0.3262)  1 Ag 2.38, 2 Cr 2.40-2.43, 1 Pd 2.40
S (0.2881, 0.9524, 0.6738)  1 Ag 2.38, 2 Cr 2.40-2.43, 1 Pd 2.40
S (0.7119, 0.0476, 0.3262)  1 Ag 2.38, 2 Cr 2.40-2.43, 1 Pd 2.40
S (0.6171, 0.6171, 0.6818)  2 Cr 2.36, 1 Pd 2.43
S (0.9524, 0.2881, 0.6738)  1 Ag 2.38, 2 Cr 2.40-2.43, 1 Pd 2.40
S (0.3829, 0.3829, 0.3182)  2 Cr 2.36, 1 Pd 2.43
Ag (0.8503, 0.1497, 0.0000)  2 S 2.38
Ag (0.1497, 0.8503, 0.0000)  2 S 2.38
Pd (0.0000, 0.0000, 0.5000)  6 S 2.40-2.43
Cr (0.3403, 0.6597, 0.5000)  6 S 2.36-2.43
Cr (0.6597, 0.3403, 0.5000)  6 S 2.36-2.43

Calculated values
Its final energy is -0.1973 Ha/atom. As for the symmetry: No. 12. The calculation puts the formation energy without anion corrections at -0.379 eV per atom.

***

- Which formula does entry 4 have?
  YHg3Pb